This record from the Alexandria database describes a geometry-optimized Cs3MoI structure. The functional is PBE.

Computed properties:
The calculation puts the density of states at the Fermi level at 2.71 states/eV/cell. As for the energy above the most stable polymorph in this dataset: 0 meV per atom. For the mass density, the calculation gives 2.63 g cm⁻³. Its space-group type is Pm-3m. For the energy relative to the elements, uncorrected, the calculation gives 462 meV/atom.

The structure in POSCAR format:
```
Cs3MoI
1.0
-2.630 1.965 -6.544
-2.731 -6.730 -0.924
-6.264 2.109 3.150
Mo Cs I
1 3 1
Direct
0.500 0.500 0.500
0.500 0.000 0.000
0.000 0.500 0.000
0.000 0.000 0.500
0.000 0.000 0.000
```

This record from the Alexandria database describes a geometry-optimized CsMoI2N structure. The functional is PBE.

Computed properties:
The calculation puts the density of states at the Fermi level at 4.52 states/eV/cell. As for the energy above the most stable polymorph in this dataset: 1976 meV per atom. For the mass density, the calculation gives 3.34 g cm⁻³. Its space-group type is P4/mmm. For the energy relative to the elements, uncorrected, the calculation gives 1739 meV/atom.

The structure in POSCAR format:
```
CsMoI2N
1.0
-5.524 -2.163 -4.005
0.221 -6.418 3.162
-3.058 1.558 3.376
Mo I Cs N
1 2 1 1
Direct
0.500 0.500 0.500
0.000 0.500 0.000
0.500 0.000 0.000
0.000 0.000 0.000
0.000 0.000 0.500
```

This record from the Alexandria database describes a geometry-optimized CsMoI2N structure. The functional is PBE.

Computed properties:
The calculation puts the density of states at the Fermi level at 1.21 states/eV/cell. As for the energy above the most stable polymorph in this dataset: 0 meV per atom. For the mass density, the calculation gives 5.48 g cm⁻³. Its space-group type is P4/mmm. For the energy relative to the elements, uncorrected, the calculation gives -237 meV/atom.

The structure in POSCAR format:
```
CsMoI2N
1.0
6.182 0.000 0.000
0.000 6.182 0.000
0.000 0.000 3.940
N I Mo Cs
1 2 1 1
Direct
0.000 0.000 0.500
0.000 0.500 0.000
0.500 0.000 0.000
0.000 0.000 0.000
0.500 0.500 0.500
```

This record from the Alexandria database describes a geometry-optimized CsNaMoI6 structure. The functional is PBE.

Computed properties:
The calculation puts the density of states at the Fermi level at 8.76 states/eV/cell. For the mass density, the calculation gives 3.69 g cm⁻³. Its space-group type is P312. For the energy relative to the elements, uncorrected, the calculation gives -669 meV/atom.

The structure in POSCAR format:
```
CsNaMoI6
1.0
-5.165 -4.181 4.290
-2.891 -6.803 -2.814
6.360 -4.185 3.581
I Mo Na Cs
6 1 1 1
Direct
0.039 0.612 0.692
0.612 0.349 0.693
0.349 0.040 0.693
0.040 0.349 0.307
0.349 0.612 0.307
0.612 0.039 0.307
0.333 0.333 0.500
0.667 0.667 0.500
0.000 0.000 0.000
```

This record from the Alexandria database describes a geometry-optimized Cs2NaMoI6 structure. The functional is PBE.

Computed properties:
For the mass density, the calculation gives 4.38 g cm⁻³. Its space-group type is Fm-3m. For the energy relative to the elements, uncorrected, the calculation gives -924 meV/atom.

The structure in POSCAR format:
```
Cs2NaMoI6
1.0
-0.018 1.396 8.388
-5.262 -4.394 5.030
3.105 -5.884 5.296
I Mo Na Cs
6 1 1 2
Direct
0.765 0.765 0.235
0.765 0.235 0.235
0.235 0.765 0.235
0.765 0.235 0.765
0.235 0.765 0.765
0.235 0.235 0.765
0.000 0.000 0.000
0.500 0.500 0.500
0.750 0.750 0.750
0.250 0.250 0.250
```